[1]
The following is a DFT calculation (GGA-PBE) of an optimized crystal structure of Tb4DyCd.

Summary:
Its symmetry is C2/c (15). The calculation puts the total magnetization at 0.000 μB/atom. Its relative energy among the computed polymorphs is 100 meV/atom. The uncorrected energy comes out at -4.00 eV per atom. The calculation puts the density of states at the Fermi level at 1.373 states/eV per atom. Its energy relative to the elements is 0.007 eV/atom.

Lattice parameters (Å, degrees): 8.313 8.313 6.317 99.90 99.90 116.81
Element x y z (fractional)
Tb: 0.093 0.711 0.957
Tb: 0.162 0.407 0.622
Tb: 0.289 0.907 0.543
Tb: 0.407 0.162 0.122
Tb: 0.593 0.838 0.878
Tb: 0.711 0.093 0.457
Tb: 0.838 0.593 0.378
Tb: 0.907 0.289 0.043
Dy: 0.411 0.589 0.250
Dy: 0.589 0.411 0.750
Cd: 0.001 0.999 0.250
Cd: 0.999 0.001 0.750



[2]
The following is a DFT calculation (GGA-PBE) of an optimized crystal structure of Tb6DyCd.

Summary:
Its symmetry is R-3 (148). The calculation puts the total magnetization at 0.000 μB/atom. Its relative energy among the computed polymorphs is 79 meV/atom. The uncorrected energy comes out at -4.12 eV per atom. The calculation puts the density of states at the Fermi level at 1.356 states/eV per atom. Its energy relative to the elements is 0.047 eV/atom.

Lattice parameters (Å, degrees): 6.311 6.311 6.311 94.38 94.38 94.38
Element x y z (fractional)
Tb: 0.040 0.758 0.551
Tb: 0.242 0.449 0.960
Tb: 0.449 0.960 0.242
Tb: 0.551 0.040 0.758
Tb: 0.758 0.551 0.040
Tb: 0.960 0.242 0.449
Dy: 0.500 0.500 0.500
Cd: 0.000 0.000 0.000



[3]
The following is a DFT calculation (GGA-PBE) of an optimized crystal structure of Tb2Dy3Cd.

Summary:
Its symmetry is P4/mmm (123). The calculation puts the total magnetization at 0.000 μB/atom. Its relative energy among the computed polymorphs is 0 meV/atom. The uncorrected energy comes out at -4.09 eV per atom. The calculation puts the density of states at the Fermi level at 1.346 states/eV per atom. Its energy relative to the elements is -0.092 eV/atom.

Lattice parameters (Å, degrees): 3.561 3.561 14.158 90.00 90.00 90.00
Element x y z (fractional)
Tb: 0.000 0.000 0.177
Tb: 0.000 0.000 0.823
Dy: 0.500 0.500 0.000
Dy: 0.500 0.500 0.353
Dy: 0.500 0.500 0.647
Cd: 0.000 0.000 0.500



[4]
The following is a DFT calculation (GGA-PBE) of an optimized crystal structure of Tb8Dy6Cd.

Summary:
Its symmetry is P-3 (147). The calculation puts the total magnetization at 0.000 μB/atom. The uncorrected energy comes out at -4.27 eV per atom. The calculation puts the density of states at the Fermi level at 1.292 states/eV per atom. Its energy relative to the elements is 0.098 eV/atom.

Lattice parameters (Å, degrees): 9.374 9.374 6.269 90.00 90.00 120.00
Element x y z (fractional)
Tb: 0.041 0.266 0.310
Tb: 0.225 0.959 0.310
Tb: 0.266 0.225 0.690
Tb: 0.333 0.667 0.313
Tb: 0.667 0.333 0.687
Tb: 0.734 0.775 0.310
Tb: 0.775 0.041 0.690
Tb: 0.959 0.734 0.690
Dy: 0.093 0.455 0.814
Dy: 0.362 0.907 0.814
Dy: 0.455 0.362 0.186
Dy: 0.545 0.638 0.814
Dy: 0.638 0.093 0.186
Dy: 0.907 0.545 0.186
Cd: 0.000 0.000 0.000



[5]
The following is a DFT calculation (GGA-PBE) of an optimized crystal structure of Tb5Dy2Cd.

Summary:
Its symmetry is P-1 (2). The calculation puts the total magnetization at 0.000 μB/atom. Its relative energy among the computed polymorphs is 0 meV/atom. The uncorrected energy comes out at -4.19 eV per atom. The calculation puts the density of states at the Fermi level at 1.284 states/eV per atom. Its energy relative to the elements is -0.034 eV/atom.

Lattice parameters (Å, degrees): 3.579 7.543 18.537 89.15 89.96 76.28
Element x y z (fractional)
Tb: 0.027 0.449 0.100
Tb: 0.092 0.325 0.279
Tb: 0.213 0.072 0.665
Tb: 0.269 0.950 0.844
Tb: 0.469 0.565 0.412
Tb: 0.531 0.435 0.588
Tb: 0.731 0.050 0.156
Tb: 0.787 0.928 0.335
Tb: 0.908 0.675 0.721
Tb: 0.973 0.551 0.900
Dy: 0.161 0.182 0.463
Dy: 0.347 0.809 0.022
Dy: 0.653 0.191 0.978
Dy: 0.839 0.818 0.537
Cd: 0.409 0.688 0.218
Cd: 0.591 0.312 0.782



[6]
The following is a DFT calculation (GGA-PBE) of an optimized crystal structure of Tb3Dy12Cd.

Summary:
Its symmetry is P4/mmm (123). The calculation puts the total magnetization at 0.000 μB/atom. The uncorrected energy comes out at -4.38 eV per atom. The calculation puts the density of states at the Fermi level at 1.258 states/eV per atom. Its energy relative to the elements is -0.005 eV/atom.

Lattice parameters (Å, degrees): 4.961 4.961 20.045 90.00 90.00 90.00
Element x y z (fractional)
Tb: 0.000 0.000 0.000
Tb: 0.000 0.000 0.252
Tb: 0.000 0.000 0.748
Dy: 0.000 0.500 0.127
Dy: 0.000 0.500 0.379
Dy: 0.000 0.500 0.621
Dy: 0.000 0.500 0.873
Dy: 0.500 0.000 0.127
Dy: 0.500 0.000 0.379
Dy: 0.500 0.000 0.621
Dy: 0.500 0.000 0.873
Dy: 0.500 0.500 0.000
Dy: 0.500 0.500 0.256
Dy: 0.500 0.500 0.500
Dy: 0.500 0.500 0.744
Cd: 0.000 0.000 0.500



[7]
The following is a DFT calculation (GGA-PBE) of an optimized crystal structure of TbDy8Cd6.

Summary:
Its symmetry is R-3 (148). The calculation puts the total magnetization at 0.064 μB/atom. The uncorrected energy comes out at -3.20 eV per atom. The calculation puts the density of states at the Fermi level at 1.223 states/eV per atom. Its energy relative to the elements is -0.068 eV/atom.

Lattice parameters (Å, degrees): 8.208 8.208 8.208 66.23 66.23 66.23
Element x y z (fractional)
Tb: 0.000 0.000 0.000
Dy: 0.116 0.449 0.783
Dy: 0.217 0.884 0.550
Dy: 0.333 0.333 0.333
Dy: 0.449 0.783 0.116
Dy: 0.551 0.217 0.884
Dy: 0.667 0.667 0.667
Dy: 0.783 0.116 0.450
Dy: 0.884 0.551 0.217
Cd: 0.052 0.718 0.386
Cd: 0.282 0.614 0.948
Cd: 0.386 0.052 0.718
Cd: 0.614 0.948 0.282
Cd: 0.718 0.386 0.052
Cd: 0.948 0.282 0.614



[8]
The following is a DFT calculation (GGA-PBE) of an optimized crystal structure of Tb6DyCd5.

Summary:
Its symmetry is Immm (71). The calculation puts the total magnetization at 0.019 μB/atom. The uncorrected energy comes out at -3.30 eV per atom. The calculation puts the density of states at the Fermi level at 1.318 states/eV per atom. Its energy relative to the elements is -0.216 eV/atom.

Lattice parameters (Å, degrees): 9.278 9.278 9.278 147.03 130.25 60.98
Element x y z (fractional)
Tb: 0.073 0.329 0.744
Tb: 0.230 0.000 0.230
Tb: 0.415 0.671 0.744
Tb: 0.585 0.329 0.256
Tb: 0.770 0.000 0.770
Tb: 0.927 0.671 0.256
Dy: 0.500 0.500 0.000
Cd: 0.000 0.500 0.500
Cd: 0.170 0.170 0.000
Cd: 0.347 0.847 0.500
Cd: 0.653 0.153 0.500
Cd: 0.830 0.830 0.000